# LaW3F, optimized geometry, DFT GGA+U
data_LaW3F
_chemical_formula_sum 'La1 W3 F1'
_space_group_name_H-M_alt 'P 1'
_space_group_IT_number 1
_cell_length_a 4.709
_cell_length_b 4.709
_cell_length_c 4.709
_cell_angle_alpha 90.00
_cell_angle_beta 90.00
_cell_angle_gamma 90.00
loop_
_space_group_symop_operation_xyz
'x,y,z'
loop_
_atom_site_label
_atom_site_type_symbol
_atom_site_fract_x
_atom_site_fract_y
_atom_site_fract_z
_atom_site_occupancy
La1 La 0.000 0.000 0.000 1
W1 W 0.000 0.500 0.500 1
W2 W 0.500 0.000 0.500 1
W3 W 0.500 0.500 0.000 1
F1 F 0.500 0.500 0.500 1
# Energy above the most stable polymorph in this dataset: 0.0000 eV per atom
# Magnetic moment: 5.976 μB/f.u.
# Calculated total energy: -23.0 eV per formula unit